# 1
A PBEsol-optimized structure of MnPSe. Source: Alexandria via LeMat-Bulk, functional SCAN.

Cell lengths 3.251, 3.251, 5.099 Å; angles 90.00, 90.00, 120.00 degrees
Positions (direct):
Mn: 0.000 0.000 0.000
P: 0.333 0.667 0.746
Se: 0.667 0.333 0.304

- symmetry = P3m1
- mass density (g/cm3) = 5.87
- ΔE_f (raw) (eV per atom) = -0.27
- volume (A^3/atom) = 15.56
- D(E_F) (states/eV/cell) = 1.15



# 2
A PBEsol-optimized structure of Mn2Si2P. Source: Alexandria via LeMat-Bulk, functional SCAN.

Cell lengths 5.694, 5.694, 5.694 Å; angles 141.65, 141.65, 55.36 degrees
Positions (direct):
Mn: 0.250 0.750 0.500
Mn: 0.750 0.250 0.500
Si: 0.111 0.111 0.000
Si: 0.889 0.889 0.000
P: 0.500 0.500 0.000

- symmetry = I4/mmm
- mass density (g/cm3) = 4.64
- ΔE_f (raw) (eV per atom) = 0.28
- volume (A^3/atom) = 14.11
- D(E_F) (states/eV/cell) = 2.91



# 3
A PBEsol-optimized structure of Mn12SiP3. Source: Alexandria via LeMat-Bulk, functional SCAN.

Cell lengths 4.403, 6.582, 6.608 Å; angles 83.76, 70.82, 70.62 degrees
Positions (direct):
Mn: 0.000 0.000 0.000
Mn: 0.027 0.226 0.274
Mn: 0.124 0.581 0.135
Mn: 0.279 0.627 0.768
Mn: 0.322 0.287 0.568
Mn: 0.446 0.216 0.904
Mn: 0.568 0.561 0.347
Mn: 0.625 0.930 0.326
Mn: 0.660 0.789 0.978
Mn: 0.872 0.418 0.928
Mn: 0.927 0.649 0.547
Mn: 0.964 0.986 0.628
Si: 0.452 0.936 0.697
P: 0.188 0.859 0.283
P: 0.530 0.276 0.204
P: 0.770 0.353 0.620

- symmetry = P1
- mass density (g/cm3) = 7.59
- ΔE_f (raw) (eV per atom) = -0.39
- volume (A^3/atom) = 10.66
- D(E_F) (states/eV/cell) = 11.47